Co11CuO16 | Alexandria via LeMat-Bulk | PBE+U | relaxed; M_tot = 12.02 μB per formula unit; E = -167.18 eV/f.u.
1.0
-3.899 -4.244 -0.304
3.182 -3.184 3.643
-4.004 3.217 6.444
O Co Cu
16 11 1
direct
0.773 0.257 0.017
0.000 0.969 0.754
0.227 0.257 0.017
0.773 0.743 0.983
0.500 0.471 0.253
0.000 0.475 0.236
0.500 0.529 0.747
0.000 0.525 0.764
0.723 0.751 0.515
0.500 0.974 0.736
0.723 0.249 0.485
0.000 0.031 0.246
0.277 0.249 0.485
0.277 0.751 0.515
0.500 0.026 0.264
0.227 0.743 0.983
0.251 0.252 0.250
0.251 0.748 0.750
0.000 0.250 0.624
0.749 0.252 0.250
0.500 0.500 0.500
0.749 0.748 0.750
0.000 0.750 0.376
0.500 0.249 0.878
0.000 0.500 0.000
0.500 0.751 0.122
0.500 0.000 0.500
0.000 0.000 0.000

***

Co2CuOsO8 | Alexandria via LeMat-Bulk | PBE+U | relaxed; M_tot = 5.05 μB per formula unit; E = -72.08 eV/f.u.
1.0
-3.948 2.547 2.959
2.873 -3.156 3.552
3.312 3.704 -2.479
O Os Cu Co
8 1 1 2
direct
0.293 0.113 0.820
0.941 0.226 0.285
0.774 0.059 0.715
0.887 0.707 0.180
0.527 0.707 0.820
0.344 0.059 0.285
0.293 0.473 0.180
0.941 0.656 0.715
0.000 0.000 0.000
0.250 0.750 0.500
0.500 0.500 0.000
0.750 0.250 0.500

***

CoCuOsO6 | Alexandria via LeMat-Bulk | PBE+U | relaxed; M_tot = 0.00 μB per formula unit; E = -57.12 eV/f.u.
1.0
-3.908 2.876 0.912
-0.632 -4.444 -2.056
-0.779 -3.605 8.032
O Os Cu Co
12 2 2 2
direct
0.642 0.641 0.631
0.999 0.641 0.869
0.001 0.642 0.369
0.358 0.359 0.369
0.641 0.642 0.131
0.999 0.358 0.631
0.359 0.001 0.631
0.001 0.359 0.131
0.358 0.999 0.131
0.359 0.358 0.869
0.642 0.001 0.869
0.641 0.999 0.369
0.667 0.333 0.750
0.333 0.667 0.250
0.000 0.000 0.500
0.000 0.000 0.000
0.667 0.333 0.250
0.333 0.667 0.750

***

Co2CuOsO6 | Alexandria via LeMat-Bulk | PBE+U | relaxed; M_tot = 0.97 μB per formula unit; E = -63.71 eV/f.u.
1.0
5.052 0.000 0.001
2.526 4.375 0.000
2.526 1.458 4.658
Co Os O Cu
2 1 6 1
direct
0.525 0.525 0.425
0.007 0.007 0.980
0.324 0.324 0.029
0.609 0.224 0.232
0.224 0.935 0.232
0.732 0.115 0.765
0.115 0.388 0.765
0.935 0.609 0.232
0.388 0.732 0.765
0.804 0.803 0.590